# 1
A geometry-optimized GaTePd6 structure, computed with PBE.

Formation energy (no corrections) in meV per atom: -233
Total moment in μB/f.u.: 0.00
E in eV/atom: -4.899

Cell: 5.3087 5.3203 5.3311 Å, 73.81 74.24 74.04°
With the nearest neighbours (Å) after each atom.
Positions (direct):
Ga 0.0000 0.0000 0.0000  6 Pd 2.52-2.53
Te 0.5000 0.5000 0.5000  6 Pd 2.66
Pd 0.0025 0.5192 0.2426  1 Ga 2.52, 2 Pd 2.66-2.69, 1 Te 2.66
Pd 0.2424 0.0020 0.5211  1 Ga 2.53, 2 Pd 2.65-2.68, 1 Te 2.66
Pd 0.4826 0.7571 0.9968  1 Ga 2.53, 2 Pd 2.65-2.68, 1 Te 2.66
Pd 0.5174 0.2429 0.0032  1 Ga 2.53, 2 Pd 2.65-2.68, 1 Te 2.66
Pd 0.7576 0.9980 0.4789  1 Ga 2.53, 2 Pd 2.65-2.68, 1 Te 2.66
Pd 0.9975 0.4808 0.7574  1 Ga 2.52, 2 Pd 2.66-2.69, 1 Te 2.66



# 2
A geometry-optimized LaPtBr4 structure, computed with PBE.

Formation energy (no corrections) in meV per atom: 100
Total moment in μB/f.u.: 0.00
E in eV/atom: -2.844

Cell: 6.0698 6.0698 6.0698 Å, 60.00 60.00 60.00°
With the nearest neighbours (Å) after each atom.
Positions (direct):
La 0.0000 0.0000 0.0000  12 Br 3.56, 4 Pt 3.72
Pt 0.7500 0.7500 0.7500  12 Br 3.56, 4 La 3.72
Br 0.3754 0.3754 0.3754  6 Br 3.02-3.05
Br 0.3754 0.3754 0.8737  6 Br 3.02-3.05
Br 0.3754 0.8737 0.3754  6 Br 3.02-3.05
Br 0.8737 0.3754 0.3754  6 Br 3.02-3.05